Entry 1:
First-principles (GGA-PBEsol) data for SbPb2S2I3 after structural relaxation, as listed in the Alexandria database.

Cell lengths 7.419, 7.419, 16.289 Å; angles 90.00, 90.00, 146.75 degrees
Positions (direct):
Sb1 0.145 0.855 0.500
Sb2 0.855 0.145 0.000
Pb1 0.119 0.881 0.953
Pb2 0.195 0.805 0.227
Pb3 0.805 0.195 0.727
Pb4 0.881 0.119 0.453
S1 0.269 0.731 0.396
S2 0.272 0.728 0.061
S3 0.728 0.272 0.561
S4 0.731 0.269 0.896
I1 0.143 0.857 0.730
I2 0.438 0.562 0.607
I3 0.444 0.556 0.865
I4 0.556 0.444 0.365
I5 0.562 0.438 0.107
I6 0.857 0.143 0.230

Relative energy among the computed polymorphs (meV/atom): 14

---

Entry 2:
First-principles (GGA-PBEsol) data for TePbSI2 after structural relaxation, as listed in the Alexandria database.

Cell lengths 6.014, 6.014, 5.899 Å; angles 90.00, 90.00, 90.00 degrees
Positions (direct):
Te1 0.000 0.000 0.000
Pb1 0.000 0.000 0.500
S1 0.500 0.500 0.000
I1 0.000 0.500 0.500
I2 0.500 0.000 0.500

---

Entry 3:
First-principles (GGA-PBEsol) data for Sb2Pb2I after structural relaxation, as listed in the Alexandria database.

Cell lengths 4.561, 4.561, 15.761 Å; angles 90.00, 90.00, 90.00 degrees
Positions (direct):
Sb1 0.000 0.500 0.250
Sb2 0.000 0.500 0.750
Sb3 0.500 0.000 0.250
Sb4 0.500 0.000 0.750
Pb1 0.000 0.000 0.111
Pb2 0.000 0.000 0.889
Pb3 0.500 0.500 0.389
Pb4 0.500 0.500 0.611
I1 0.000 0.000 0.500
I2 0.500 0.500 0.000

---

Number 1: E_tot -30.48 eV per formula unit, volume 491.5 Å³ per cell. Number 2: E_tot -12.02 eV per formula unit, volume 213.4 Å³ per cell. Number 3: E_tot -19.51 eV per formula unit, volume 327.8 Å³ per cell.